BaCrSe2O8 PBE+U optimized geometry; raw total energy = -0.437 Ry/atom
1.0
5.170 0.000 0.000
2.585 4.478 0.000
2.585 1.493 7.727
O Se Ba Cr
8 2 1 1
Cartesian
4.214 1.405 1.273
2.585 1.493 3.433
4.280 4.603 1.273
6.126 4.565 6.454
7.016 2.947 1.273
6.061 1.367 6.454
7.755 4.478 4.294
3.324 3.023 6.454
2.585 1.493 1.742
7.755 4.478 5.985
5.170 2.985 3.864
0.000 0.000 0.000